# Ac2SiAg2Pd4

A relaxed Ac2SiAg2Pd4 crystal (PBE, the Alexandria database).

Cell: 6.3761 6.3761 6.3761 Å, 115.57 115.57 97.86°
Closest atoms and distances in Å follow each position.
Atoms (fractional coordinates):
Ac  0.2500  0.7500  0.5000  8 Pd 3.19, 4 Ag 3.44
Ac  0.7500  0.2500  0.5000  8 Pd 3.19, 4 Ag 3.44
Si  0.0000  0.0000  0.0000  4 Pd 2.40, 2 Ag 2.64
Ag  0.3154  0.3154  0.0000  1 Si 2.64, 4 Pd 2.86
Ag  0.6846  0.6846  0.0000  1 Si 2.64, 4 Pd 2.86
Pd  0.2495  0.2495  0.4990  1 Si 2.40
Pd  0.2495  0.7505  0.0000  1 Si 2.40
Pd  0.7505  0.2495  0.0000  1 Si 2.40
Pd  0.7505  0.7505  0.5010  1 Si 2.40

Values from the calculation:
Uncorrected formation energy in eV per atom: -0.579
Total DFT energy (no corrections) in eV per cell: -45.33

# TiNb5Tc6

A relaxed TiNb5Tc6 crystal (PBE, the Alexandria database).

Cell: 7.7897 7.7897 7.7897 Å, 146.47 131.81 59.98°
Closest atoms and distances in Å follow each position.
Atoms (fractional coordinates):
Ti  0.0000  0.0000  0.0000  8 Tc 2.75
Nb  0.1648  0.6648  0.5000  8 Tc 2.73-2.78
Nb  0.3333  0.3333  0.0000  8 Tc 2.75-2.76
Nb  0.5000  0.0000  0.5000  8 Tc 2.75-2.76
Nb  0.6667  0.6667  0.0000  8 Tc 2.75-2.76
Nb  0.8352  0.3352  0.5000  8 Tc 2.73-2.78
Tc  0.0830  0.8337  0.2493  1 Ti 2.75, 7 Nb 2.75-2.78
Tc  0.2487  0.5000  0.7487  6 Nb 2.73-2.76, 2 Ti 2.75
Tc  0.4156  0.1663  0.2493  1 Ti 2.75, 7 Nb 2.75-2.78
Tc  0.5844  0.8337  0.7507  1 Ti 2.75, 7 Nb 2.75-2.78
Tc  0.7513  0.5000  0.2513  6 Nb 2.73-2.76, 2 Ti 2.75
Tc  0.9170  0.1663  0.7507  1 Ti 2.75, 7 Nb 2.75-2.78

Values from the calculation:
Total DFT energy (no corrections) in eV per cell: -125.17

# AcTb3Pm3

A relaxed AcTb3Pm3 crystal (PBE, the Alexandria database).

Cell: 9.8084 9.8084 5.8817 Å, 90.00 90.00 120.00°
Closest atoms and distances in Å follow each position.
Atoms (fractional coordinates):
Ac  0.3333  0.6667  0.2500  9 Pm 3.65-3.71, 3 Tb 3.77
Ac  0.6667  0.3333  0.7500  9 Pm 3.65-3.71, 3 Tb 3.77
Tb  0.0435  0.8129  0.2500  6 Tb 3.60, 5 Pm 3.64-3.79, 1 Ac 3.77
Tb  0.1871  0.2305  0.2500  6 Tb 3.60, 5 Pm 3.64-3.79, 1 Ac 3.77
Tb  0.2305  0.0435  0.7500  6 Tb 3.60, 5 Pm 3.64-3.79, 1 Ac 3.77
Tb  0.7695  0.9565  0.2500  6 Tb 3.60, 5 Pm 3.64-3.79, 1 Ac 3.77
Tb  0.8129  0.7695  0.7500  6 Tb 3.60, 5 Pm 3.64-3.79, 1 Ac 3.77
Tb  0.9565  0.1871  0.7500  6 Tb 3.60, 5 Pm 3.64-3.79, 1 Ac 3.77
Pm  0.0942  0.6232  0.7500  5 Tb 3.64-3.79, 3 Ac 3.65-3.71, 4 Pm 3.67-3.75
Pm  0.3768  0.4710  0.7500  5 Tb 3.64-3.79, 3 Ac 3.65-3.71, 4 Pm 3.67-3.75
Pm  0.4710  0.0942  0.2500  5 Tb 3.64-3.79, 3 Ac 3.65-3.71, 4 Pm 3.67-3.75
Pm  0.5290  0.9058  0.7500  5 Tb 3.64-3.79, 3 Ac 3.65-3.71, 4 Pm 3.67-3.75
Pm  0.6232  0.5290  0.2500  5 Tb 3.64-3.79, 3 Ac 3.65-3.71, 4 Pm 3.67-3.75
Pm  0.9058  0.3768  0.2500  5 Tb 3.64-3.79, 3 Ac 3.65-3.71, 4 Pm 3.67-3.75

Values from the calculation:
Energy above the most stable polymorph in this dataset in meV/atom: 0
Total DFT energy (no corrections) in eV per cell: -63.96